1 | The following is a DFT calculation (GGA-PBE) of a relaxed HfTlFe2 crystal.

Properties
- ρ: 11.1 Mg/m³
- DOS(E_F): 7.36 states/eV per cell
- Magnetic moment: 3.79 μB per formula unit

Geometry as POSCAR:
```
HfTlFe2
1.0
-5.031 -2.666 4.439
-2.863 -3.724 -5.482
-2.252 -5.388 0.083
Hf Fe Tl
2 4 2
Cartesian
-3.947 -3.195 -0.522 Hf
-4.531 -6.154 -2.961 Hf
-4.675 -6.471 -0.379 Fe
-8.570 -9.599 -0.801 Fe
-4.020 -3.455 2.069 Fe
-3.027 -4.032 -2.811 Fe
0.000 0.000 0.000 Tl
-5.615 -5.625 2.000 Tl
```

=====

2 | The following is a DFT calculation (GGA-PBE) of a relaxed HfTlFe2 crystal.

Properties
- ρ: 13.2 Mg/m³
- DOS(E_F): 5.32 states/eV per cell
- Magnetic moment: 0.94 μB per formula unit

Geometry as POSCAR:
```
HfTlFe2
1.0
0.000 3.144 3.144
3.144 0.000 3.144
3.144 3.144 0.000
Fe Hf Tl
2 1 1
Cartesian
4.716 4.716 4.716 Fe
1.572 1.572 1.572 Fe
0.000 0.000 0.000 Hf
3.144 3.144 3.144 Tl
```

=====

Winner for stability: 2

=====

1 | The following is a DFT calculation (GGA-PBE) of a relaxed HfTl2Fe crystal.

Properties
- ρ: 12.1 Mg/m³
- DOS(E_F): 4.29 states/eV per cell
- Magnetic moment: 2.40 μB per formula unit

Geometry as POSCAR:
```
HfTl2Fe
1.0
7.685 0.000 0.000
0.000 7.685 0.000
3.842 3.842 2.988
Tl Fe Hf
4 2 2
Cartesian
2.152 5.764 0.747 Tl
5.533 1.921 0.747 Tl
9.606 9.375 2.241 Tl
5.764 5.995 2.241 Tl
3.842 7.685 1.494 Fe
3.842 3.842 0.000 Fe
0.000 0.000 0.000 Hf
7.685 3.842 1.494 Hf
```

=====

2 | The following is a DFT calculation (GGA-PBE) of a relaxed HfTl2Fe crystal.

Properties
- ρ: 13.8 Mg/m³
- DOS(E_F): 2.04 states/eV per cell
- Magnetic moment: 0.00 μB per formula unit

Geometry as POSCAR:
```
HfTl2Fe
1.0
0.000 3.386 3.386
3.386 0.000 3.386
3.386 3.386 0.000
Tl Hf Fe
2 1 1
Cartesian
1.693 1.693 1.693 Tl
5.079 5.079 5.079 Tl
3.386 3.386 3.386 Hf
0.000 0.000 0.000 Fe
```

=====

Winner for stability: 1

=====

1 | The following is a DFT calculation (GGA-PBE) of a relaxed TmHfFe crystal.

Properties
- ρ: 11.2 Mg/m³
- DOS(E_F): 19.39 states/eV per cell
- Magnetic moment: 0.00 μB per formula unit

Geometry as POSCAR:
```
TmHfFe
1.0
-0.377 3.221 -2.871
-5.381 -3.096 -2.767
-7.398 5.959 7.658
Fe Hf Tm
6 6 6
Cartesian
-7.467 5.966 2.774 Fe
-5.689 0.118 -0.753 Fe
-2.098 2.416 -1.915 Fe
-4.489 2.645 1.924 Fe
-8.667 3.439 0.097 Fe
-11.058 3.668 3.935 Fe
-3.465 1.027 -0.026 Hf
-9.691 5.057 2.047 Hf
-5.065 5.189 1.587 Hf
-8.091 0.895 0.433 Hf
-7.262 7.734 4.732 Hf
-5.894 -1.650 -2.711 Hf
-5.402 5.028 4.718 Tm
-4.266 1.015 -3.202 Tm
-7.291 3.010 2.702 Tm
-8.890 5.069 5.222 Tm
-5.865 3.073 -0.682 Tm
-7.754 1.056 -2.697 Tm
```

=====

2 | The following is a DFT calculation (GGA-PBE) of a relaxed TmHfFe crystal.

Properties
- ρ: 10.9 Mg/m³
- DOS(E_F): 2.31 states/eV per cell
- Magnetic moment: 0.97 μB per formula unit

Geometry as POSCAR:
```
TmHfFe
1.0
3.253 0.000 0.000
0.000 3.253 0.000
-1.627 -1.627 5.785
Tm Hf Fe
1 1 1
Cartesian
0.000 0.000 0.289 Tm
0.000 0.000 3.392 Hf
1.627 1.627 2.104 Fe
```

=====

Winner for stability: 1

=====

1 | The following is a DFT calculation (GGA-PBE) of a relaxed TmHfFe2 crystal.

Properties
- ρ: 11.7 Mg/m³
- DOS(E_F): 3.94 states/eV per cell
- Magnetic moment: 0.22 μB per formula unit

Geometry as POSCAR:
```
TmHfFe2
1.0
-4.034 2.028 -0.065
-2.341 0.493 3.830
-0.497 4.098 1.830
Fe Tm Hf
2 1 1
Cartesian
-5.155 4.965 4.196 Fe
-1.718 1.655 1.399 Fe
0.000 0.000 0.000 Tm
-3.437 3.310 2.797 Hf
```

=====

2 | The following is a DFT calculation (GGA-PBE) of a relaxed TmHfFe2 crystal.

Properties
- ρ: 11.6 Mg/m³
- DOS(E_F): 5.47 states/eV per cell
- Magnetic moment: 0.46 μB per formula unit

Geometry as POSCAR:
```
TmHfFe2
1.0
3.194 0.000 0.000
0.000 3.194 0.000
0.000 0.000 6.453
Hf Tm Fe
1 1 2
Cartesian
1.597 1.597 0.000 Hf
1.597 1.597 3.226 Tm
0.000 0.000 4.979 Fe
0.000 0.000 1.473 Fe
```

=====

Winner for stability: 2